Entry 1:
An optimized crystal structure of Li2TcPb2O6, computed with GGA-PBE.

## Properties
For the volume, the calculation gives 13.5 A^3/atom. The formation energy (no corrections) comes out at -1358 meV per atom.

Geometry as CIF:
```
data_Li2TcPb2O6
_space_group_name_H-M_alt 'R -3 m'
_space_group_IT_number 166
_space_group_name_Hall '-R 3 2"'
_cell_length_a 5.8553
_cell_length_b 5.8553
_cell_length_c 15.0386
_cell_angle_alpha 90.00
_cell_angle_beta 90.00
_cell_angle_gamma 120.00
loop_
_atom_site_label
_atom_site_type_symbol
_atom_site_fract_x
_atom_site_fract_y
_atom_site_fract_z
_atom_site_occupancy
Li1 Li 0.0000 0.0000 0.0867 1
Tc1 Tc 0.0000 0.0000 0.5000 1
Pb1 Pb 0.0000 0.0000 0.2925 1
O1 O 0.0328 0.5164 0.2464 1
```

---

Entry 2:
An optimized crystal structure of HAuN, computed with GGA-PBE.

## Properties
For the volume, the calculation gives 11.4 A^3/atom. As for the energy above the lowest structure with this stoichiometry: 0.014 eV/atom.

Geometry as CIF:
```
data_HAuN
_space_group_name_H-M_alt 'P 4 m m'
_space_group_IT_number 99
_space_group_name_Hall 'P 4 -2'
_cell_length_a 3.1987
_cell_length_b 3.1987
_cell_length_c 3.3449
_cell_angle_alpha 90.00
_cell_angle_beta 90.00
_cell_angle_gamma 90.00
loop_
_atom_site_label
_atom_site_type_symbol
_atom_site_fract_x
_atom_site_fract_y
_atom_site_fract_z
_atom_site_occupancy
H1 H 0.0000 0.0000 0.0000 1
Au1 Au 0.5000 0.5000 0.3689 1
N1 N 0.0000 0.0000 0.3096 1
```

---

Entry 3:
An optimized crystal structure of PmPr5Hg3, computed with GGA-PBE.

## Properties
For the volume, the calculation gives 30.6 A^3/atom. The calculation puts the calculated formation energy at -2.5 eV/f.u.

Geometry as CIF:
```
data_PmPr5Hg3
_space_group_name_H-M_alt 'P 63/m c m'
_space_group_IT_number 193
_space_group_name_Hall '-P 6c 2'
_cell_length_a 9.4551
_cell_length_b 9.4551
_cell_length_c 7.1229
_cell_angle_alpha 90.00
_cell_angle_beta 90.00
_cell_angle_gamma 120.00
loop_
_atom_site_label
_atom_site_type_symbol
_atom_site_fract_x
_atom_site_fract_y
_atom_site_fract_z
_atom_site_occupancy
Pm1 Pm 0.0000 0.0000 0.0000 1
Pr1 Pr 0.0000 0.3352 0.2500 1
Pr2 Pr 0.3333 0.6667 0.0000 1
Hg1 Hg 0.0000 0.3295 0.7500 1
```

---

Entry 4:
An optimized crystal structure of Pa2FeSi3Ir4, computed with GGA-PBE.

## Properties
For the volume, the calculation gives 16.8 A^3/atom. The formation energy (no corrections) comes out at -877 meV per atom.

Geometry as CIF:
```
data_Pa2FeSi3Ir4
_space_group_name_H-M_alt 'P -4 m 2'
_space_group_IT_number 115
_space_group_name_Hall 'P -4 -2'
_cell_length_a 4.0758
_cell_length_b 4.0758
_cell_length_c 10.1216
_cell_angle_alpha 90.00
_cell_angle_beta 90.00
_cell_angle_gamma 90.00
loop_
_atom_site_label
_atom_site_type_symbol
_atom_site_fract_x
_atom_site_fract_y
_atom_site_fract_z
_atom_site_occupancy
Pa1 Pa 0.0000 0.5000 0.2485 1
Fe1 Fe 0.5000 0.5000 0.0000 1
Si1 Si 0.0000 0.0000 0.0000 1
Si2 Si 0.0000 0.5000 0.6315 1
Ir1 Ir 0.0000 0.0000 0.5000 1
Ir2 Ir 0.0000 0.5000 0.8653 1
Ir3 Ir 0.5000 0.5000 0.5000 1
```

---

Entry 5:
An optimized crystal structure of Sr2PmNpAs4, computed with GGA-PBE.

## Properties
For the volume, the calculation gives 28.4 A^3/atom. The calculation puts the calculated formation energy at -8.6 eV/f.u.

Geometry as CIF:
```
data_Sr2PmNpAs4
_space_group_name_H-M_alt 'P 1 2/m 1'
_space_group_IT_number 10
_space_group_name_Hall '-P 2y'
_cell_length_a 7.4090
_cell_length_b 4.3065
_cell_length_c 7.5448
_cell_angle_alpha 90.00
_cell_angle_beta 109.05
_cell_angle_gamma 90.00
loop_
_atom_site_label
_atom_site_type_symbol
_atom_site_fract_x
_atom_site_fract_y
_atom_site_fract_z
_atom_site_occupancy
Sr1 Sr 0.0000 0.0000 0.0000 1
Sr2 Sr 0.5000 0.5000 0.0000 1
Pm1 Pm 0.0000 0.5000 0.5000 1
Np1 Np 0.5000 0.0000 0.5000 1
As1 As 0.2562 0.0000 0.7210 1
As2 As 0.2729 0.5000 0.2843 1
```

---

Entry 6:
An optimized crystal structure of NaMgAl2, computed with GGA-PBE.

## Properties
For the volume, the calculation gives 24.0 A^3/atom. The calculation puts the calculated formation energy at 1.7 eV/f.u.

Geometry as CIF:
```
data_NaMgAl2
_space_group_name_H-M_alt 'I -4 2 d'
_space_group_IT_number 122
_space_group_name_Hall 'I -4 2bw'
_cell_length_a 8.1392
_cell_length_b 8.1392
_cell_length_c 5.7917
_cell_angle_alpha 90.00
_cell_angle_beta 90.00
_cell_angle_gamma 90.00
loop_
_atom_site_label
_atom_site_type_symbol
_atom_site_fract_x
_atom_site_fract_y
_atom_site_fract_z
_atom_site_occupancy
Na1 Na 0.0000 0.0000 0.0000 1
Mg1 Mg 0.0000 0.0000 0.5000 1
Al1 Al 0.2301 0.2500 0.6250 1
```

---

Repeat the first record exactly.
An optimized crystal structure of Li2TcPb2O6, computed with GGA-PBE.

## Properties
For the volume, the calculation gives 13.5 A^3/atom. The formation energy (no corrections) comes out at -1358 meV per atom.

Geometry as CIF:
```
data_Li2TcPb2O6
_space_group_name_H-M_alt 'R -3 m'
_space_group_IT_number 166
_space_group_name_Hall '-R 3 2"'
_cell_length_a 5.8553
_cell_length_b 5.8553
_cell_length_c 15.0386
_cell_angle_alpha 90.00
_cell_angle_beta 90.00
_cell_angle_gamma 120.00
loop_
_atom_site_label
_atom_site_type_symbol
_atom_site_fract_x
_atom_site_fract_y
_atom_site_fract_z
_atom_site_occupancy
Li1 Li 0.0000 0.0000 0.0867 1
Tc1 Tc 0.0000 0.0000 0.5000 1
Pb1 Pb 0.0000 0.0000 0.2925 1
O1 O 0.0328 0.5164 0.2464 1
```

---

> Number 6 is which compound?

NaMgAl2